Record 1
VASP calculation (PBE) on a relaxed MnBe4Te crystal.

Computed properties:
E_form (uncorrected) in eV per atom: 0.2353
E in eV/atom: -4.3007

abc: 4.486 4.486 4.486
angles: 60.00 60.00 60.00
Element x y z (fractional)
Be 0.621 0.621 0.136
Be 0.621 0.621 0.621
Be 0.621 0.136 0.621
Be 0.136 0.621 0.621
Mn 0.250 0.250 0.250
Te 0.000 0.000 0.000

***

Record 2
VASP calculation (PBE) on a relaxed MnBeTe crystal.

Computed properties:
E above lowest polymorph in meV/atom: 126
E_form (uncorrected) in eV per atom: 0.4336
E in eV/atom: -4.9122

abc: 3.839 3.839 4.283
angles: 90.00 90.00 120.00
Last column: magnetic moment on the atom in μB.
Element x y z (fractional)
Be 0.000 0.000 0.002  -0.05
Te 0.333 0.667 0.729  0.06
Mn 0.667 0.333 0.269  3.79

***

Record 3
VASP calculation (PBE) on a relaxed MnBeTe crystal.

Computed properties:
E above lowest polymorph in meV/atom: 0
E_form (uncorrected) in eV per atom: 0.3080
E in eV/atom: -5.0378

abc: 4.481 4.481 4.481
angles: 136.90 136.90 62.60
Last column: magnetic moment on the atom in μB.
Element x y z (fractional)
Mn 0.335 0.335 0.000  1.15
Te 0.671 0.671 0.000  -0.04
Be 0.994 0.994 0.000  -0.05

***

Record 4
VASP calculation (PBE) on a relaxed MnBeTe crystal.

Computed properties:
E above lowest polymorph in meV/atom: 183
E_form (uncorrected) in eV per atom: 0.4909
E in eV/atom: -4.8549

abc: 6.615 6.615 3.005
angles: 76.87 76.87 26.26
Element x y z (fractional)
Mn 0.346 0.346 0.654
Be 0.930 0.930 0.070
Te 0.724 0.724 0.276

***

Record 5
VASP calculation (PBE) on a relaxed MnBeTe crystal.

Computed properties:
E above lowest polymorph in meV/atom: 31
E_form (uncorrected) in eV per atom: 0.3393
E in eV/atom: -5.0065

abc: 4.165 4.165 4.165
angles: 60.00 60.00 60.00
Last column: magnetic moment on the atom in μB.
Element x y z (fractional)
Be 0.500 0.500 0.500  -0.06
Mn 0.750 0.750 0.750  2.50
Te 0.000 0.000 0.000  -0.01

***

Record 6
VASP calculation (PBE) on a relaxed MnBeTe crystal.

Computed properties:
E above lowest polymorph in meV/atom: 275
E_form (uncorrected) in eV per atom: 0.5831
E in eV/atom: -4.7627

abc: 3.179 3.179 5.729
angles: 90.00 90.00 120.00
Last column: magnetic moment on the atom in μB.
Element x y z (fractional)
Mn 0.667 0.333 0.317  2.08
Te 0.333 0.667 0.636  -0.13
Be 0.000 0.000 0.047  -0.06

***

Record 7
VASP calculation (PBE) on a relaxed Th2Mn17Be2 crystal.

Computed properties:
DFT formation energy in eV per atom: 0.137
E in eV/atom: -8.3479

abc: 6.482 6.594 6.594
angles: 84.05 83.59 83.59
Last column: magnetic moment on the atom in μB.
Element x y z (fractional)
Th 0.673 0.637 0.637  -0.09
Th 0.327 0.363 0.363  -0.09
Mn 0.500 0.000 0.000  1.13
Mn 0.107 0.103 0.103  -2.53
Mn 0.000 0.000 0.500  -0.85
Mn 0.671 0.152 0.674  1.62
Mn 0.000 0.500 0.000  -0.85
Mn 0.893 0.897 0.897  -2.53
Mn 0.856 0.341 0.341  2.52
Mn 0.000 0.727 0.273  -1.46
Mn 0.000 0.273 0.727  -1.46
Mn 0.329 0.326 0.848  1.62
Mn 0.740 0.265 0.004  0.12
Mn 0.260 0.996 0.735  0.12
Mn 0.740 0.004 0.265  0.12
Mn 0.329 0.848 0.326  1.62
Mn 0.671 0.674 0.152  1.62
Mn 0.260 0.735 0.996  0.12
Mn 0.144 0.659 0.659  2.52
Be 0.500 0.000 0.500  -0.04
Be 0.500 0.500 0.000  -0.04

***

Record 8
VASP calculation (PBE) on a relaxed Ti3MnBe8 crystal.

Computed properties:
DFT formation energy in eV per atom: -0.233
E in eV/atom: -5.4549

abc: 4.429 4.429 7.710
angles: 73.31 73.31 60.00
Last column: magnetic moment on the atom in μB.
Element x y z (fractional)
Be 0.188 0.188 0.437  0.03
Be 0.688 0.688 0.936  -0.02
Be 0.435 0.435 0.195  0.01
Be 0.937 0.446 0.679  0.01
Be 0.937 0.937 0.679  0.01
Be 0.435 0.935 0.195  0.01
Be 0.935 0.435 0.195  0.01
Be 0.446 0.937 0.679  0.01
Ti 0.502 0.502 0.493  0.23
Ti 0.996 0.996 0.012  0.72
Ti 0.375 0.375 0.874  0.76
Mn 0.875 0.875 0.374  -0.55

***

Record 9
VASP calculation (PBE) on a relaxed TiMn2Be2 crystal.

Computed properties:
DFT formation energy in eV per atom: 0.007
E above lowest polymorph in meV/atom: 167
E in eV/atom: -6.7303

abc: 6.658 6.658 2.512
angles: 90.00 90.00 90.00
Last column: magnetic moment on the atom in μB.
Element x y z (fractional)
Be 0.171 0.671 0.500  -0.03
Be 0.329 0.171 0.500  -0.04
Be 0.829 0.329 0.500  -0.03
Be 0.671 0.829 0.500  -0.04
Mn 0.876 0.624 0.000  1.66
Mn 0.376 0.876 0.000  1.63
Mn 0.124 0.376 0.000  1.66
Mn 0.624 0.124 0.000  1.63
Ti 0.000 0.000 0.000  -0.28
Ti 0.500 0.500 0.000  -0.28

***

Record 10
VASP calculation (PBE) on a relaxed Ti2MnBe16 crystal.

Computed properties:
DFT formation energy in eV per atom: -0.174
E in eV/atom: -4.6255

abc: 5.594 5.594 5.594
angles: 83.64 83.64 83.64
Last column: magnetic moment on the atom in μB.
Element x y z (fractional)
Be 0.705 0.291 0.999  0.01
Be 0.000 0.499 0.000  0.00
Be 0.705 0.999 0.291  0.01
Be 0.999 0.705 0.291  0.01
Be 0.291 0.705 0.999  0.01
Be 0.652 0.652 0.156  -0.01
Be 0.652 0.156 0.652  -0.01
Be 0.499 0.000 0.000  0.00
Be 0.838 0.347 0.347  0.02
Be 0.999 0.291 0.705  0.01
Be 0.108 0.108 0.108  -0.01
Be 0.347 0.347 0.838  0.02
Be 0.156 0.652 0.652  -0.01
Be 0.000 0.000 0.499  0.00
Be 0.347 0.838 0.347  0.02
Be 0.291 0.999 0.705  0.01
Ti 0.343 0.343 0.343  0.01
Ti 0.665 0.665 0.665  0.12
Mn 0.903 0.903 0.903  1.73

***

Record 11
VASP calculation (PBE) on a relaxed TiMnBe17 crystal.

Computed properties:
DFT formation energy in eV per atom: -0.141
E in eV/atom: -4.3727

abc: 5.502 5.502 5.502
angles: 82.72 82.72 82.72
Last column: magnetic moment on the atom in μB.
Element x y z (fractional)
Be 0.997 0.301 0.702  -0.02
Be 0.899 0.899 0.899  -0.04
Be 0.835 0.349 0.349  -0.02
Be 0.005 0.496 0.005  0.00
Be 0.098 0.098 0.098  0.00
Be 0.653 0.152 0.653  -0.03
Be 0.653 0.653 0.152  -0.03
Be 0.997 0.702 0.301  -0.02
Be 0.005 0.005 0.496  0.00
Be 0.702 0.997 0.301  -0.02
Be 0.301 0.702 0.997  -0.02
Be 0.152 0.653 0.653  -0.03
Be 0.702 0.301 0.997  -0.02
Be 0.349 0.835 0.349  -0.02
Be 0.301 0.997 0.702  -0.02
Be 0.349 0.349 0.835  -0.02
Be 0.496 0.005 0.005  0.00
Ti 0.337 0.337 0.337  0.14
Mn 0.666 0.666 0.666  2.63

***

Record 12
VASP calculation (PBE) on a relaxed TiMn3Be crystal.

Computed properties:
DFT formation energy in eV per atom: 1.352
E above lowest polymorph in meV/atom: 962
E in eV/atom: -6.4742

abc: 4.399 4.399 4.399
angles: 90.00 90.00 90.00
Last column: magnetic moment on the atom in μB.
Element x y z (fractional)
Mn 0.000 0.500 0.000  2.82
Mn 0.000 0.000 0.500  2.65
Mn 0.500 0.000 0.000  3.04
Ti 0.000 0.000 0.000  -0.84
Be 0.500 0.500 0.500  -0.11

***

Record 13
VASP calculation (PBE) on a relaxed Ti3MnBe crystal.

Computed properties:
DFT formation energy in eV per atom: 0.737
E above lowest polymorph in meV/atom: 111
E in eV/atom: -6.5791

abc: 4.280 4.280 4.280
angles: 90.00 90.00 90.00
Element x y z (fractional)
Be 0.000 0.000 0.000
Ti 0.500 0.000 0.000
Ti 0.000 0.000 0.500
Ti 0.000 0.500 0.000
Mn 0.500 0.500 0.500

***

Record 14
VASP calculation (PBE) on a relaxed TiMn2Be9 crystal.

Computed properties:
DFT formation energy in eV per atom: -0.230
E in eV/atom: -5.2107

abc: 4.258 4.258 7.233
angles: 72.88 72.88 60.00
Last column: magnetic moment on the atom in μB.
Element x y z (fractional)
Mn 0.144 0.144 0.567  1.34
Mn 0.856 0.856 0.433  1.34
Be 0.589 0.081 0.742  -0.02
Be 0.589 0.589 0.742  -0.02
Be 0.500 0.500 0.500  -0.04
Be 0.411 0.919 0.258  -0.02
Be 0.667 0.667 0.000  0.00
Be 0.333 0.333 0.000  0.00
Be 0.081 0.589 0.742  -0.02
Be 0.919 0.411 0.258  -0.02
Be 0.411 0.411 0.258  -0.02
Ti 0.000 0.000 0.000  -0.40

***

Record 15
VASP calculation (PBE) on a relaxed Ti4Mn3Be crystal.

Computed properties:
DFT formation energy in eV per atom: -0.227
E in eV/atom: -8.0787

abc: 2.995 2.995 11.745
angles: 90.00 90.00 90.00
Last column: magnetic moment on the atom in μB.
Element x y z (fractional)
Be 0.500 0.500 0.000  0.00
Mn 0.500 0.500 0.500  1.13
Mn 0.500 0.500 0.244  0.58
Mn 0.500 0.500 0.756  0.58
Ti 0.000 0.000 0.875  -0.09
Ti 0.000 0.000 0.628  -0.30
Ti 0.000 0.000 0.372  -0.30
Ti 0.000 0.000 0.125  -0.09

***

Record 16
VASP calculation (PBE) on a relaxed TiMn2Be2 crystal.

Computed properties:
DFT formation energy in eV per atom: -0.160
E above lowest polymorph in meV/atom: 0
E in eV/atom: -6.8978

abc: 5.965 5.965 2.943
angles: 90.00 90.00 90.00
Element x y z (fractional)
Mn 0.326 0.174 0.500
Mn 0.674 0.826 0.500
Mn 0.174 0.674 0.500
Mn 0.826 0.326 0.500
Be 0.882 0.618 0.000
Be 0.618 0.118 0.000
Be 0.118 0.382 0.000
Be 0.382 0.882 0.000
Ti 0.000 0.000 0.000
Ti 0.500 0.500 0.000

***

Record 17
VASP calculation (PBE) on a relaxed Ti2MnBe3 crystal.

Computed properties:
DFT formation energy in eV per atom: -0.211
E in eV/atom: -6.2342

abc: 4.538 4.538 4.637
angles: 89.99 119.26 120.05
Last column: magnetic moment on the atom in μB.
Element x y z (fractional)
Be 0.500 0.000 0.500  0.01
Be 0.500 0.500 0.500  0.01
Be 0.000 0.000 0.500  0.01
Mn 0.000 0.000 0.000  -0.28
Ti 0.748 0.374 0.123  0.30
Ti 0.252 0.626 0.877  0.30

***

Record 18
VASP calculation (PBE) on a relaxed Ti3MnBe crystal.

Computed properties:
DFT formation energy in eV per atom: 0.626
E above lowest polymorph in meV/atom: 0
E in eV/atom: -6.6904

abc: 4.446 4.446 4.446
angles: 90.00 90.00 90.00
Last column: magnetic moment on the atom in μB.
Element x y z (fractional)
Ti 0.000 0.500 0.000  0.29
Ti 0.500 0.000 0.000  0.50
Ti 0.000 0.000 0.500  0.17
Be 0.500 0.500 0.500  -0.01
Mn 0.000 0.000 0.000  -0.12

***

Record 19
VASP calculation (PBE) on a relaxed TiMnBe2 crystal.

Computed properties:
DFT formation energy in eV per atom: -0.070
E in eV/atom: -6.1989

abc: 3.787 3.402 3.402
angles: 90.00 90.00 90.00
Element x y z (fractional)
Mn 0.500 0.500 0.500
Be 0.000 0.500 0.000
Be 0.000 0.000 0.500
Ti 0.500 0.000 0.000

***

Record 20
VASP calculation (PBE) on a relaxed TiMn2Be crystal.

Computed properties:
DFT formation energy in eV per atom: -0.118
E in eV/atom: -7.6077

abc: 2.963 2.963 5.214
angles: 90.00 90.00 90.00
Element x y z (fractional)
Be 0.500 0.500 0.500
Mn 0.000 0.000 0.298
Mn 0.000 0.000 0.702
Ti 0.500 0.500 0.000